! Mg2OsRh (GGA-PBE, optimized geometry); values from VASP
! Formation energy from the elements ... -0.05 eV/atom
! Energy relative to the lowest polymorph listed for this composition ... 0.047 eV/atom
&SYSTEM
  ibrav = 0, nat = 4, ntyp = 3
/
ATOMIC_SPECIES
Mg 24.30 Mg.upf
Os 190.23 Os.upf
Rh 102.91 Rh.upf
ATOMIC_POSITIONS angstrom
Mg 0.000 0.000 0.000
Mg 1.420 1.420 2.716
Os 0.000 0.000 4.704
Rh 1.420 1.420 6.400
CELL_PARAMETERS angstrom
2.839 0.000 0.000
0.000 2.839 0.000
0.000 0.000 8.347